Entry 1:
# Ta2Zn2N

An optimized crystal structure of Ta2Zn2N (PBE, the Alexandria database).

Calculated values
DOS at the Fermi energy = 0.4182 states/eV per atom
Electronic total energy = -72.54 eV for the cell shown
Total moment = 0.00 μB per cell
Uncorrected formation energy = -0.34 eV per atom

a b c (Å): 5.7046 5.7046 4.7466
angles (deg): 90.00 90.00 90.00
Fractional positions:
Ta (0.1754, 0.3246, 0.0000)
Ta (0.3246, 0.8246, 0.0000)
Ta (0.6754, 0.1754, 0.0000)
Ta (0.8246, 0.6754, 0.0000)
Zn (0.1520, 0.6520, 0.5000)
Zn (0.3480, 0.1520, 0.5000)
Zn (0.6520, 0.8480, 0.5000)
Zn (0.8480, 0.3480, 0.5000)
N (0.0000, 0.0000, 0.0000)
N (0.5000, 0.5000, 0.0000)

Entry 2:
# Ta3ZnN

An optimized crystal structure of Ta3ZnN (PBE, the Alexandria database).

Calculated values
DOS at the Fermi energy = 1.5181 states/eV per atom
Electronic total energy = -46.57 eV for the cell shown
Total moment = 0.00 μB per cell
Uncorrected formation energy = -0.28 eV per atom

a b c (Å): 4.2374 4.2374 4.2374
angles (deg): 90.00 90.00 90.00
Fractional positions:
Ta (0.0000, 0.0000, 0.5000)
Ta (0.0000, 0.5000, 0.0000)
Ta (0.5000, 0.0000, 0.0000)
Zn (0.5000, 0.5000, 0.5000)
N (0.0000, 0.0000, 0.0000)

Entry 3:
# Ta4ZnN

An optimized crystal structure of Ta4ZnN (PBE, the Alexandria database).

Calculated values
DOS at the Fermi energy = 0.6147 states/eV per atom
Electronic total energy = -114.78 eV for the cell shown
Total moment = 0.00 μB per cell
Uncorrected formation energy = -0.06 eV per atom

a b c (Å): 7.2049 4.8697 6.2688
angles (deg): 90.00 111.78 90.00
Fractional positions:
Ta (0.1376, 0.2416, 0.3093)
Ta (0.1376, 0.2584, 0.8093)
Ta (0.2381, 0.7156, 0.1076)
Ta (0.2381, 0.7844, 0.6076)
Ta (0.7619, 0.2156, 0.3924)
Ta (0.7619, 0.2844, 0.8924)
Ta (0.8624, 0.7416, 0.1907)
Ta (0.8624, 0.7584, 0.6907)
Zn (0.5000, 0.0000, 0.0000)
Zn (0.5000, 0.5000, 0.5000)
N (0.0000, 0.0000, 0.0000)
N (0.0000, 0.5000, 0.5000)

Entry 4:
# TaZnN3

An optimized crystal structure of TaZnN3 (PBE, the Alexandria database).

Calculated values
DOS at the Fermi energy = 0.3841 states/eV per atom
Electronic total energy = -31.27 eV for the cell shown
Total moment = 0.00 μB per cell
Uncorrected formation energy = 1.37 eV per atom

a b c (Å): 3.7035 3.7035 3.7035
angles (deg): 90.00 90.00 90.00
Fractional positions:
Ta (0.0000, 0.0000, 0.0000)
Zn (0.5000, 0.5000, 0.5000)
N (0.0000, 0.5000, 0.5000)
N (0.5000, 0.0000, 0.5000)
N (0.5000, 0.5000, 0.0000)

Entry 5:
# Zr2TaZnN

An optimized crystal structure of Zr2TaZnN (PBE, the Alexandria database).

Calculated values
DOS at the Fermi energy = 0.4609 states/eV per atom
Electronic total energy = -41.90 eV for the cell shown
Total moment = 0.00 μB per cell
Uncorrected formation energy = -0.67 eV per atom

a b c (Å): 4.5612 4.5612 4.0901
angles (deg): 90.00 90.00 90.00
Fractional positions:
Zr (0.0000, 0.5000, 0.0000)
Zr (0.5000, 0.0000, 0.0000)
Ta (0.0000, 0.0000, 0.5000)
Zn (0.5000, 0.5000, 0.5000)
N (0.0000, 0.0000, 0.0000)

Entry 6:
# Zr2TaZnN5

An optimized crystal structure of Zr2TaZnN5 (PBE, the Alexandria database).

Calculated values
DOS at the Fermi energy = 0.0463 states/eV per atom
Electronic total energy = -160.42 eV for the cell shown
Total moment = 0.00 μB per cell
Uncorrected formation energy = -0.93 eV per atom

a b c (Å): 6.7479 6.7479 9.6781
angles (deg): 90.00 90.00 152.95
Fractional positions:
Zr (0.1083, 0.8917, 0.5000)
Zr (0.1284, 0.8716, 0.1010)
Zr (0.8716, 0.1284, 0.6010)
Zr (0.8917, 0.1083, 0.0000)
Ta (0.2055, 0.7945, 0.8135)
Ta (0.7945, 0.2055, 0.3135)
Zn (0.4836, 0.5164, 0.2861)
Zn (0.5164, 0.4836, 0.7861)
N (0.0578, 0.9422, 0.8858)
N (0.2825, 0.7175, 0.4645)
N (0.3077, 0.6923, 0.1641)
N (0.3602, 0.6398, 0.8135)
N (0.4964, 0.5036, 0.5854)
N (0.5036, 0.4964, 0.0854)
N (0.6398, 0.3602, 0.3135)
N (0.6923, 0.3077, 0.6641)
N (0.7175, 0.2825, 0.9645)
N (0.9422, 0.0578, 0.3858)

Entry 7:
# ZrTa2N4

An optimized crystal structure of ZrTa2N4 (PBE, the Alexandria database).

Calculated values
DOS at the Fermi energy = 0.5308 states/eV per atom
Electronic total energy = -65.96 eV for the cell shown
Total moment = 0.64 μB per cell
Uncorrected formation energy = -0.06 eV per atom

a b c (Å): 6.1649 6.1649 6.1649
angles (deg): 140.11 140.11 57.69
Fractional positions:
Zr (0.0000, 0.0000, 0.0000)
Ta (0.3720, 0.3720, 0.0000)
Ta (0.6280, 0.6280, 0.0000)
N (0.0000, 0.5000, 0.5000)
N (0.2058, 0.2058, 0.0000)
N (0.5000, 0.0000, 0.5000)
N (0.7942, 0.7942, 0.0000)

Entry 8:
# Zr2TaN

An optimized crystal structure of Zr2TaN (PBE, the Alexandria database).

Calculated values
DOS at the Fermi energy = 0.7455 states/eV per atom
Electronic total energy = -39.08 eV for the cell shown
Total moment = 0.00 μB per cell
Uncorrected formation energy = -0.45 eV per atom

a b c (Å): 8.4461 8.4461 8.4461
angles (deg): 21.55 21.55 21.55
Fractional positions:
Zr (0.1130, 0.1130, 0.1130)
Zr (0.8870, 0.8870, 0.8870)
Ta (0.0000, 0.0000, 0.0000)
N (0.5000, 0.5000, 0.5000)

Entry 9:
# ZrTaN

An optimized crystal structure of ZrTaN (PBE, the Alexandria database).

Calculated values
DOS at the Fermi energy = 0.5555 states/eV per atom
Electronic total energy = -58.45 eV for the cell shown
Total moment = 0.00 μB per cell
Uncorrected formation energy = -0.17 eV per atom

a b c (Å): 6.5547 3.7922 3.7922
angles (deg): 83.94 90.00 90.00
Fractional positions:
Zr (0.1400, 0.2500, 0.7500)
Zr (0.8600, 0.7500, 0.2500)
Ta (0.5000, 0.1754, 0.1754)
Ta (0.5000, 0.6754, 0.6754)
N (0.2089, 0.8734, 0.3734)
N (0.7911, 0.3734, 0.8734)

Entry 10:
# ZrTaN2

An optimized crystal structure of ZrTaN2 (PBE, the Alexandria database).

Calculated values
DOS at the Fermi energy = 0.3363 states/eV per atom
Electronic total energy = -42.23 eV for the cell shown
Total moment = 0.00 μB per cell
Uncorrected formation energy = -1.30 eV per atom

a b c (Å): 3.1934 3.1934 5.5296
angles (deg): 106.77 106.77 59.83
Fractional positions:
Zr (0.0000, 0.0000, 0.0000)
Ta (0.5000, 0.5000, 0.5000)
N (0.2447, 0.2447, 0.7349)
N (0.7553, 0.7553, 0.2651)

Entry 11:
# ZrTa3N

An optimized crystal structure of ZrTa3N (PBE, the Alexandria database).

Calculated values
DOS at the Fermi energy = 0.7765 states/eV per atom
Electronic total energy = -54.74 eV for the cell shown
Total moment = 0.00 μB per cell
Uncorrected formation energy = -0.46 eV per atom

a b c (Å): 4.3494 4.3494 4.3494
angles (deg): 90.00 90.00 90.00
Fractional positions:
Zr (0.0000, 0.0000, 0.0000)
Ta (0.0000, 0.5000, 0.5000)
Ta (0.5000, 0.0000, 0.5000)
Ta (0.5000, 0.5000, 0.0000)
N (0.5000, 0.5000, 0.5000)

Entry 12:
# ZrTa3N

An optimized crystal structure of ZrTa3N (PBE, the Alexandria database).

Calculated values
DOS at the Fermi energy = 1.0446 states/eV per atom
Electronic total energy = -37.13 eV for the cell shown
Total moment = 0.00 μB per cell
Uncorrected formation energy = 3.06 eV per atom

a b c (Å): 4.8881 4.8881 4.8881
angles (deg): 90.00 90.00 90.00
Fractional positions:
Zr (0.0000, 0.0000, 0.0000)
Ta (0.0000, 0.0000, 0.5000)
Ta (0.0000, 0.5000, 0.0000)
Ta (0.5000, 0.0000, 0.0000)
N (0.5000, 0.5000, 0.5000)

Entry 13:
# Zr2TaN4

An optimized crystal structure of Zr2TaN4 (PBE, the Alexandria database).

Calculated values
DOS at the Fermi energy = 0.2442 states/eV per atom
Electronic total energy = -142.06 eV for the cell shown
Total moment = 0.00 μB per cell
Uncorrected formation energy = -1.25 eV per atom

a b c (Å): 5.4745 5.4745 10.5227
angles (deg): 90.00 90.00 147.76
Fractional positions:
Zr (0.1269, 0.8731, 0.5771)
Zr (0.1269, 0.8731, 0.9229)
Zr (0.8731, 0.1269, 0.0771)
Zr (0.8731, 0.1269, 0.4229)
Ta (0.3700, 0.6300, 0.7500)
Ta (0.6300, 0.3700, 0.2500)
N (0.0127, 0.9873, 0.7500)
N (0.2218, 0.7782, 0.1272)
N (0.2218, 0.7782, 0.3728)
N (0.5000, 0.5000, 0.0000)
N (0.5000, 0.5000, 0.5000)
N (0.7782, 0.2218, 0.6272)
N (0.7782, 0.2218, 0.8728)
N (0.9873, 0.0127, 0.2500)

Entry 14:
# Zr2TaN

An optimized crystal structure of Zr2TaN (PBE, the Alexandria database).

Calculated values
DOS at the Fermi energy = 0.2703 states/eV per atom
Electronic total energy = -74.57 eV for the cell shown
Total moment = 0.00 μB per cell
Uncorrected formation energy = 0.00 eV per atom

a b c (Å): 5.9605 5.9605 5.9605
angles (deg): 114.76 114.76 99.34
Fractional positions:
Zr (0.0179, 0.6250, 0.8929)
Zr (0.3750, 0.2679, 0.3929)
Zr (0.7321, 0.1250, 0.1071)
Zr (0.8750, 0.9821, 0.6071)
Ta (0.2500, 0.7500, 0.5000)
Ta (0.5000, 0.5000, 0.0000)
N (0.0000, 0.0000, 0.0000)
N (0.7500, 0.2500, 0.5000)

Entry 15:
# ZrTaN2

An optimized crystal structure of ZrTaN2 (PBE, the Alexandria database).

Calculated values
DOS at the Fermi energy = 0.4952 states/eV per atom
Electronic total energy = -41.90 eV for the cell shown
Total moment = 0.00 μB per cell
Uncorrected formation energy = -1.21 eV per atom

a b c (Å): 5.8193 5.8193 5.8193
angles (deg): 31.15 31.15 31.15
Fractional positions:
Zr (0.0000, 0.0000, 0.0000)
Ta (0.1742, 0.1742, 0.1742)
N (0.5821, 0.5821, 0.5821)
N (0.7616, 0.7616, 0.7616)

Entry 16:
# Zr3TaN6

An optimized crystal structure of Zr3TaN6 (PBE, the Alexandria database).

Calculated values
DOS at the Fermi energy = 0.5245 states/eV per atom
Electronic total energy = -197.70 eV for the cell shown
Total moment = 0.00 μB per cell
Uncorrected formation energy = -1.14 eV per atom

a b c (Å): 6.8729 6.8729 5.4193
angles (deg): 90.00 90.00 100.79
Fractional positions:
Zr (0.0961, 0.9039, 0.5000)
Zr (0.2003, 0.4131, 0.5528)
Zr (0.4131, 0.2003, 0.0528)
Zr (0.5869, 0.7997, 0.5528)
Zr (0.7997, 0.5869, 0.0528)
Zr (0.9039, 0.0961, 0.0000)
Ta (0.3323, 0.6677, 0.0640)
Ta (0.6677, 0.3323, 0.5640)
N (0.0851, 0.5904, 0.2336)
N (0.1476, 0.1756, 0.2711)
N (0.1756, 0.1476, 0.7711)
N (0.2744, 0.7256, 0.7065)
N (0.4096, 0.9149, 0.2336)
N (0.4853, 0.5147, 0.3027)
N (0.5147, 0.4853, 0.8027)
N (0.5904, 0.0851, 0.7336)
N (0.7256, 0.2744, 0.2065)
N (0.8244, 0.8524, 0.2711)
N (0.8524, 0.8244, 0.7711)
N (0.9149, 0.4096, 0.7336)

Entry 17:
# ZrTaN2

An optimized crystal structure of ZrTaN2 (PBE, the Alexandria database).

Calculated values
DOS at the Fermi energy = 0.2873 states/eV per atom
Electronic total energy = -169.68 eV for the cell shown
Total moment = 0.00 μB per cell
Uncorrected formation energy = -1.34 eV per atom

a b c (Å): 6.1813 5.3372 5.5670
angles (deg): 90.00 90.00 90.00
Fractional positions:
Zr (0.1276, 0.0841, 0.2500)
Zr (0.1276, 0.4159, 0.7500)
Zr (0.8724, 0.5841, 0.2500)
Zr (0.8724, 0.9159, 0.7500)
Ta (0.3777, 0.5854, 0.2500)
Ta (0.3777, 0.9146, 0.7500)
Ta (0.6223, 0.0854, 0.2500)
Ta (0.6223, 0.4146, 0.7500)
N (0.1389, 0.7500, 0.0000)
N (0.1389, 0.7500, 0.5000)
N (0.3874, 0.2500, 0.0000)
N (0.3874, 0.2500, 0.5000)
N (0.6126, 0.7500, 0.0000)
N (0.6126, 0.7500, 0.5000)
N (0.8611, 0.2500, 0.0000)
N (0.8611, 0.2500, 0.5000)

Entry 18:
# ZrTa2N4

An optimized crystal structure of ZrTa2N4 (PBE, the Alexandria database).

Calculated values
DOS at the Fermi energy = 0.4643 states/eV per atom
Electronic total energy = -148.06 eV for the cell shown
Total moment = 0.00 μB per cell
Uncorrected formation energy = -1.21 eV per atom

a b c (Å): 5.2965 5.2965 10.3148
angles (deg): 90.00 90.00 146.52
Fractional positions:
Zr (0.1247, 0.8753, 0.7500)
Zr (0.8753, 0.1247, 0.2500)
Ta (0.3710, 0.6290, 0.5723)
Ta (0.3710, 0.6290, 0.9277)
Ta (0.6290, 0.3710, 0.0723)
Ta (0.6290, 0.3710, 0.4277)
N (0.0000, 0.0000, 0.0000)
N (0.0000, 0.0000, 0.5000)
N (0.2730, 0.7270, 0.1186)
N (0.2730, 0.7270, 0.3814)
N (0.4637, 0.5363, 0.7500)
N (0.5363, 0.4637, 0.2500)
N (0.7270, 0.2730, 0.6186)
N (0.7270, 0.2730, 0.8814)

Entry 19:
# Zr2TaN3

An optimized crystal structure of Zr2TaN3 (PBE, the Alexandria database).

Calculated values
DOS at the Fermi energy = 0.4782 states/eV per atom
Electronic total energy = -59.28 eV for the cell shown
Total moment = 0.00 μB per cell
Uncorrected formation energy = -0.89 eV per atom

a b c (Å): 5.3932 5.3932 3.0928
angles (deg): 90.00 90.00 120.00
Fractional positions:
Zr (0.3333, 0.6667, 0.0000)
Zr (0.6667, 0.3333, 0.0000)
Ta (0.0000, 0.0000, 0.5000)
N (0.0000, 0.5000, 0.5000)
N (0.5000, 0.0000, 0.5000)
N (0.5000, 0.5000, 0.5000)

Entry 20:
# Zr2Ta2N3

An optimized crystal structure of Zr2Ta2N3 (PBE, the Alexandria database).

Calculated values
DOS at the Fermi energy = 0.3888 states/eV per atom
Electronic total energy = -74.44 eV for the cell shown
Total moment = 0.00 μB per cell
Uncorrected formation energy = -1.24 eV per atom

a b c (Å): 3.1990 5.4754 5.5995
angles (deg): 75.90 73.40 89.82
Fractional positions:
Zr (0.1156, 0.3429, 0.2694)
Zr (0.8844, 0.6571, 0.7306)
Ta (0.3624, 0.1403, 0.7748)
Ta (0.6376, 0.8597, 0.2252)
N (0.2464, 0.7430, 0.0048)
N (0.5000, 0.5000, 0.5000)
N (0.7536, 0.2570, 0.9952)

Entry 21:
# ZrTa2N

An optimized crystal structure of ZrTa2N (PBE, the Alexandria database).

Calculated values
DOS at the Fermi energy = 1.4936 states/eV per atom
Electronic total energy = -80.62 eV for the cell shown
Total moment = 0.00 μB per cell
Uncorrected formation energy = 0.07 eV per atom

a b c (Å): 5.9206 5.9206 5.9206
angles (deg): 116.04 116.04 97.01
Fractional positions:
Zr (0.0000, 0.0000, 0.0000)
Zr (0.7500, 0.2500, 0.5000)
Ta (0.2624, 0.1250, 0.6374)
Ta (0.3750, 0.7376, 0.8626)
Ta (0.4876, 0.6250, 0.3626)
Ta (0.8750, 0.5124, 0.1374)
N (0.2500, 0.7500, 0.5000)
N (0.5000, 0.5000, 0.0000)

Entry 22:
# ZrTaN2

An optimized crystal structure of ZrTaN2 (PBE, the Alexandria database).

Calculated values
DOS at the Fermi energy = 0.2388 states/eV per atom
Electronic total energy = -39.39 eV for the cell shown
Total moment = 0.00 μB per cell
Uncorrected formation energy = -0.59 eV per atom

a b c (Å): 3.9590 3.9590 3.9590
angles (deg): 60.00 60.00 60.00
Fractional positions:
Zr (0.0000, 0.0000, 0.0000)
Ta (0.5000, 0.5000, 0.5000)
N (0.2500, 0.2500, 0.2500)
N (0.7500, 0.7500, 0.7500)

Entry 23:
# Zr2Ta2N3

An optimized crystal structure of Zr2Ta2N3 (PBE, the Alexandria database).

Calculated values
DOS at the Fermi energy = 0.4087 states/eV per atom
Electronic total energy = -147.99 eV for the cell shown
Total moment = 0.00 μB per cell
Uncorrected formation energy = -1.17 eV per atom

a b c (Å): 6.2272 5.3649 6.1425
angles (deg): 90.00 117.78 90.00
Fractional positions:
Zr (0.1247, 0.1684, 0.3811)
Zr (0.1247, 0.3316, 0.8811)
Zr (0.8753, 0.6684, 0.1189)
Zr (0.8753, 0.8316, 0.6189)
Ta (0.3881, 0.6719, 0.6391)
Ta (0.3881, 0.8281, 0.1391)
Ta (0.6119, 0.1719, 0.8609)
Ta (0.6119, 0.3281, 0.3609)
N (0.2618, 0.5133, 0.2724)
N (0.2618, 0.9867, 0.7724)
N (0.5000, 0.0000, 0.5000)
N (0.5000, 0.5000, 0.0000)
N (0.7382, 0.0133, 0.2276)
N (0.7382, 0.4867, 0.7276)

Entry 24:
# Zr2TaN

An optimized crystal structure of Zr2TaN (PBE, the Alexandria database).

Calculated values
DOS at the Fermi energy = 1.2052 states/eV per atom
Electronic total energy = -38.18 eV for the cell shown
Total moment = 0.00 μB per cell
Uncorrected formation energy = -0.23 eV per atom

a b c (Å): 2.9025 2.9025 7.7347
angles (deg): 90.00 90.00 90.00
Fractional positions:
Zr (0.0000, 0.0000, 0.1813)
Zr (0.0000, 0.0000, 0.8187)
Ta (0.5000, 0.5000, 0.5000)
N (0.5000, 0.5000, 0.0000)